[1]
Material: FeBr3
Method: DFT, PBE
State: optimized geometry Values from VASP.

The structure in Quantum ESPRESSO input format:
```
&SYSTEM
  ibrav = 0, nat = 16, ntyp = 2
/
ATOMIC_SPECIES
Fe 55.84 Fe.upf
Br 79.90 Br.upf
CELL_PARAMETERS angstrom
-8.6834 2.3705 -0.0290
3.4265 -4.4517 7.0330
1.4579 5.3735 2.6910
ATOMIC_POSITIONS angstrom
Fe 0.7290 2.6868 1.3455
Fe -0.2456 -0.8343 5.3517
Fe -3.5533 4.1265 4.3432
Fe 0.0000 0.0000 0.0000
Br 0.8777 3.2600 3.6730
Br -6.8913 2.9096 1.4762
Br -1.2789 1.3775 1.4950
Br 2.4422 0.4609 4.8620
Br -2.6284 -1.0406 3.5020
Br -1.8995 1.6461 4.8475
Br 1.7133 -2.2259 3.5165
Br 3.0924 0.3826 8.2187
Br -2.5201 1.9148 8.2000
Br -4.6766 0.0323 6.0219
Br -4.3417 1.1852 -0.0145
Br -3.6128 3.8720 1.3310
```

Computed properties:
ΔE_f (raw)   2.51 kcal/mol of atoms
Total DFT energy (no corrections)   -3.26 eV per atom

***

[2]
Material: Cd2SeCl
Method: DFT, PBE
State: optimized geometry Values from VASP.

The structure in Quantum ESPRESSO input format:
```
&SYSTEM
  ibrav = 0, nat = 4, ntyp = 3
/
ATOMIC_SPECIES
Cd 112.41 Cd.upf
Cl 35.45 Cl.upf
Se 78.96 Se.upf
CELL_PARAMETERS angstrom
5.0031 0.0000 0.0000
0.0000 5.0031 0.0000
0.0000 0.0000 3.5902
ATOMIC_POSITIONS angstrom
Cd 2.5015 2.5015 0.0000
Cd 0.0000 0.0000 0.0000
Cl 2.5015 0.0000 1.7951
Se 0.0000 2.5015 1.7951
```

Computed properties:
ΔE_f (raw)   -6.40 kcal/mol of atoms
Total DFT energy (no corrections)   -2.07 eV per atom
Distance to the lowest polymorph of the same formula   5.40 kcal/mol of atoms

***

[3]
Material: Na2PmTmTe4
Method: DFT, PBE
State: optimized geometry Values from VASP.

The structure in Quantum ESPRESSO input format:
```
&SYSTEM
  ibrav = 0, nat = 8, ntyp = 4
/
ATOMIC_SPECIES
Na 22.99 Na.upf
Te 127.60 Te.upf
Pm 145.00 Pm.upf
Tm 168.93 Tm.upf
CELL_PARAMETERS angstrom
-3.2672 1.1142 -2.8154
-4.4795 -5.5109 3.0174
-1.1850 6.7819 4.0591
ATOMIC_POSITIONS angstrom
Na -2.2261 3.9480 0.6218
Na -2.8322 0.6355 3.5383
Te -5.9674 1.5606 4.0187
Te -2.0131 3.8233 3.8492
Te -3.6514 -2.5524 3.2273
Te -2.9643 0.8245 0.2424
Pm -3.8734 -2.1984 0.1010
Tm 0.0000 0.0000 0.0000
```

Computed properties:
ΔE_f (raw)   -30.17 kcal/mol of atoms
Total DFT energy (no corrections)   -4.36 eV per atom

***

Number 1: M_tot 2.68 μB per formula unit. Number 2: M_tot 0.00 μB per formula unit. Number 3: M_tot 0.00 μB per formula unit.